This record from the Alexandria database describes a relaxed structure of DyLuMgSc. The functional is PBE.

Summary:
total magnetic moment: 0.0 μB per formula unit
energy of formation from the pure elements: 0.04 eV per atom

a = 5.3405 Å, b = 5.3405 Å, c = 5.3405 Å
α = 60.00°, β = 60.00°, γ = 60.00°
Fractional positions:
Sc: 0.5000 0.5000 0.5000
Dy: 0.2500 0.2500 0.2500
Mg: 0.0000 0.0000 0.0000
Lu: 0.7500 0.7500 0.7500